DFT (GGA+U) results for an optimized crystal structure of Li3MnF7.

a = 5.138 Å, b = 6.924 Å, c = 8.428 Å
α = 71.80°, β = 71.70°, γ = 81.16°
Last column: magnetic moment on the atom in μB.
Fractional coordinates of all 22 atoms:
Li 0.852 0.978 0.752  0.00
Li 0.801 0.555 0.678  0.00
Li 0.321 0.707 0.549  0.00
Li 0.206 0.444 0.335  0.00
Li 0.040 0.980 0.345  0.00
Li 0.572 0.223 0.133  0.00
Mn 0.276 0.289 0.787  -3.00
Mn 0.722 0.710 0.200  -2.99
F 0.695 0.805 0.980  -0.01
F 0.174 0.051 0.783  0.00
F 0.914 0.365 0.890  0.01
F 0.397 0.542 0.767  0.01
F 0.954 0.820 0.596  0.00
F 0.634 0.223 0.674  0.01
F 0.189 0.430 0.576  0.01
F 0.737 0.620 0.432  0.01
F 0.350 0.777 0.298  0.01
F 0.243 0.184 0.323  0.05
F 0.614 0.459 0.220  0.02
F 0.078 0.623 0.133  0.00
F 0.807 0.966 0.197  0.01
F 0.349 0.180 0.993  0.00

The excess energy over the best structure of this formula in the dataset comes out at 0 meV/atom. As for the symmetry: P1, No. 1. The volume comes out at 270 Å³ per cell. The crystal system is triclinic. The density of states at the Fermi level comes out at 0.000 states/eV/atom.